Below is a relaxed structure of SrSeBr2, with properties calculated at the GGA-PBEsol level.

Cell: 4.152 4.804 6.825 Å, 92.57 107.71 90.00°
Fractional positions:
Br 0.335 0.290 0.670
Br 0.665 0.710 0.330
Sr 0.000 0.500 0.000
Se 0.500 0.000 0.000

Calculated values
calculated total energy	-14.67	eV/cell
relative energy among the computed polymorphs	0.000	eV/atom
theoretical density	4.184	g cm⁻³
D(E_F)	0.0000	states/eV/atom
magnetization	0.0	μB/f.u.
uncorrected formation energy	-1310	meV per atom

---

Below is a relaxed structure of Sr3Cr2N4, with properties calculated at the GGA-PBEsol level.

Cell: 5.786 9.483 9.766 Å, 90.00 90.00 90.00°
Site moments in Bohr magnetons follow the coordinates.
Fractional positions:
Cr 0.155 0.250 0.250  0.41
Cr 0.750 0.736 0.500  -0.15
Cr 0.655 0.750 0.250  0.41
Cr 0.845 0.750 0.750  0.41
Cr 0.250 0.236 0.000  -0.15
Cr 0.250 0.264 0.500  -0.15
Cr 0.345 0.250 0.750  0.41
Cr 0.750 0.764 0.000  -0.15
N 0.980 0.668 0.912  0.00
N 0.645 0.869 0.852  0.00
N 0.020 0.332 0.088  0.00
N 0.645 0.631 0.648  0.00
N 0.355 0.131 0.148  0.00
N 0.480 0.168 0.588  0.00
N 0.520 0.668 0.088  0.00
N 0.855 0.631 0.352  0.00
N 0.145 0.369 0.648  0.00
N 0.145 0.131 0.852  0.00
N 0.020 0.168 0.412  0.00
N 0.520 0.832 0.412  0.00
N 0.480 0.332 0.912  0.00
N 0.855 0.869 0.148  0.00
N 0.355 0.369 0.352  0.00
N 0.980 0.832 0.588  0.00
Sr 0.621 0.419 0.157  0.01
Sr 0.750 0.402 0.500  0.01
Sr 0.121 0.919 0.343  0.01
Sr 0.250 0.902 0.000  0.01
Sr 0.379 0.919 0.657  0.01
Sr 0.879 0.081 0.657  0.01
Sr 0.379 0.581 0.843  0.01
Sr 0.621 0.081 0.343  0.01
Sr 0.879 0.419 0.843  0.01
Sr 0.750 0.098 0.000  0.01
Sr 0.121 0.581 0.157  0.01
Sr 0.250 0.598 0.500  0.01

Calculated values
calculated total energy	-271.54	eV/cell
theoretical density	5.242	g cm⁻³
D(E_F)	0.4245	states/eV/atom
magnetization	0.3	μB/f.u.
uncorrected formation energy	-864	meV per atom